Record 1
The following is a PBE calculation of an optimized crystal structure of YHoInPb, from Alexandria via LeMat-Bulk.

Lattice parameters (Å, degrees): 5.646 5.646 5.646 127.70 127.70 77.11
Fractional coordinates of all 4 atoms:
Y1 0.000 0.000 0.000
Ho1 0.500 0.500 0.000
In1 0.250 0.750 0.500
Pb1 0.750 0.250 0.500

Calculated values
The formation energy comes out at -0.451 eV per atom. As for the space group: I-4m2. As for the energy above the lowest structure with this stoichiometry: 0 meV/atom.

Record 2
The following is a PBE calculation of an optimized crystal structure of Ac2TbPuS6, from Alexandria via LeMat-Bulk.

Lattice parameters (Å, degrees): 7.543 7.543 7.543 57.89 57.89 57.89
Fractional coordinates of all 10 atoms:
Ac1 0.000 0.000 0.000
Ac2 0.500 0.500 0.500
Tb1 0.213 0.213 0.213
Pu1 0.713 0.713 0.713
S1 0.077 0.848 0.425
S2 0.346 0.574 0.928
S3 0.425 0.077 0.848
S4 0.574 0.928 0.346
S5 0.848 0.425 0.077
S6 0.928 0.346 0.574

Calculated values
As for the space group: R3. For the formation energy from raw total energies, the calculation gives -1.965 eV per atom.

Record 3
The following is a PBE calculation of an optimized crystal structure of Mg7Cd12Pd, from Alexandria via LeMat-Bulk.

Lattice parameters (Å, degrees): 7.915 7.915 7.915 104.82 104.82 104.82
Fractional coordinates of all 20 atoms:
Mg1 0.000 0.000 0.000
Mg2 0.194 0.531 0.631
Mg3 0.369 0.806 0.469
Mg4 0.469 0.369 0.806
Mg5 0.531 0.631 0.194
Mg6 0.631 0.194 0.531
Mg7 0.806 0.469 0.369
Cd1 0.060 0.272 0.801
Cd2 0.130 0.422 0.220
Cd3 0.199 0.940 0.728
Cd4 0.220 0.130 0.422
Cd5 0.272 0.801 0.060
Cd6 0.422 0.220 0.130
Cd7 0.578 0.780 0.870
Cd8 0.728 0.199 0.940
Cd9 0.780 0.870 0.578
Cd10 0.801 0.060 0.272
Cd11 0.870 0.578 0.780
Cd12 0.940 0.728 0.199
Pd1 0.500 0.500 0.500

Calculated values
The formation energy comes out at -0.099 eV per atom. As for the space group: R-3.